Entry 1:
This record from Alexandria describes crystalline KTaFeO4 at its relaxed geometry. The functional is PBE with a Hubbard U.

abc: 5.9183 6.2668 7.2734
angles: 90.00 104.42 90.00
Closest atoms and distances in Å follow each position.
Fractional coordinates of all 14 atoms:
K: 0.7202 0.7500 0.9557  1 O 2.62
K: 0.2798 0.2500 0.0443  1 O 2.62
O: 0.3562 0.7500 0.0998  1 Ta 1.83
O: 0.6438 0.2500 0.9002  1 Ta 1.83
O: 0.9364 0.4696 0.6643  1 Ta 1.90, 1 Fe 2.05
O: 0.9364 0.0304 0.6643  1 Ta 1.90, 1 Fe 2.05
O: 0.0636 0.9696 0.3357  1 Ta 1.90, 1 Fe 2.05
O: 0.0636 0.5304 0.3357  1 Ta 1.90, 1 Fe 2.05
O: 0.5464 0.7500 0.5347  1 Ta 1.88, 1 Fe 2.03
O: 0.4536 0.2500 0.4653  1 Ta 1.88, 1 Fe 2.03
Ta: 0.2819 0.7500 0.3289  4 O 1.83-1.90
Ta: 0.7181 0.2500 0.6711  4 O 1.83-1.90
Fe: 0.1178 0.2500 0.4846  3 O 2.03-2.05
Fe: 0.8822 0.7500 0.5154  3 O 2.03-2.05

Final energy = -106.41 eV per cell
Spin magnetization = 0.5714 μB/atom
Crystal system = monoclinic

---

Entry 2:
This record from Alexandria describes crystalline KTaFe2O8 at its relaxed geometry. The functional is PBE with a Hubbard U.

abc: 5.5030 5.5030 7.5744
angles: 90.00 90.00 120.00
Closest atoms and distances in Å follow each position.
Fractional coordinates of all 12 atoms:
O: 0.2395 0.9176 0.6554  1 Fe 1.79, 1 Ta 1.98
O: 0.6667 0.3333 0.0487  1 Fe 1.67
O: 0.7605 0.0824 0.3446  1 Fe 1.79, 1 Ta 1.98
O: 0.9176 0.6781 0.3446  1 Fe 1.79, 1 Ta 1.98
O: 0.3333 0.6667 0.9513  1 Fe 1.67
O: 0.6781 0.7605 0.6554  1 Fe 1.79, 1 Ta 1.98
O: 0.0824 0.3219 0.6554  1 Fe 1.79, 1 Ta 1.98
O: 0.3219 0.2395 0.3446  1 Fe 1.79, 1 Ta 1.98
K: 0.0000 0.0000 0.0000  12 O 3.06-3.20
Ta: 0.0000 0.0000 0.5000  6 O 1.98
Fe: 0.6667 0.3333 0.2696  4 O 1.67-1.79
Fe: 0.3333 0.6667 0.7304  4 O 1.67-1.79

Final energy = -79.70 eV per cell
Spin magnetization = 0.5000 μB/atom
Crystal system = trigonal

---

Entry 3:
This record from Alexandria describes crystalline K3Ta2FeO9 at its relaxed geometry. The functional is PBE with a Hubbard U.

abc: 5.7227 5.7227 7.0161
angles: 90.00 90.00 120.00
Closest atoms and distances in Å follow each position.
Fractional coordinates of all 15 atoms:
O: 0.5000 0.0000 0.0000  2 Ta 2.05
O: 0.8311 0.6623 0.6700  1 Ta 1.97, 1 Fe 2.06
O: 0.5000 0.5000 0.0000  2 Ta 2.05
O: 0.1689 0.8311 0.3300  1 Ta 1.97, 1 Fe 2.06
O: 0.1689 0.3377 0.3300  1 Ta 1.97, 1 Fe 2.06
O: 0.8311 0.1689 0.6700  1 Ta 1.97, 1 Fe 2.06
O: 0.0000 0.5000 0.0000  2 Ta 2.05
O: 0.6623 0.8311 0.3300  1 Ta 1.97, 1 Fe 2.06
O: 0.3377 0.1689 0.6700  1 Ta 1.97, 1 Fe 2.06
Ta: 0.6667 0.3333 0.8268  6 O 1.97-2.05
Ta: 0.3333 0.6667 0.1732  6 O 1.97-2.05
K: 0.6667 0.3333 0.3358  12 O 2.86-2.88
K: 0.3333 0.6667 0.6642  12 O 2.86-2.88
K: 0.0000 0.0000 0.0000  12 O 2.86
Fe: 0.0000 0.0000 0.5000  6 O 2.06

Final energy = -108.74 eV per cell
Spin magnetization = 0.4707 μB/atom
Crystal system = trigonal